Material: BeRh4
Method: DFT, PBE-GGA
State: relaxed

Cell lengths 6.7798, 6.7798, 6.7798 Å; angles 150.16, 150.16, 42.71 degrees
Last column: nearest neighbours and their distance in Å.
Positions (direct):
1 Be 0.0000 0.0000 0.0000  8 Rh 2.75
2 Rh 0.2500 0.7500 0.5000  8 Rh 2.47-2.62
3 Rh 0.4042 0.4042 0.0000  5 Rh 2.42-2.62
4 Rh 0.5958 0.5958 0.0000  5 Rh 2.42-2.62
5 Rh 0.7500 0.2500 0.5000  8 Rh 2.47-2.62

## Properties
For the energy above the lowest structure with this stoichiometry, the calculation gives 558 meV per atom. The value obtained for the size of the total moment is 0.0 Bohr magnetons per cell. As for the formation energy: 0.4536 eV per atom. For the total energy, the calculation gives -6.1728 eV/atom.